[1]
# PBE Ac2SnN, relaxed
data_Ac2SnN
_symmetry_space_group_name_H-M 'P 1'
_symmetry_Int_Tables_number 1
_symmetry_space_group_name_Hall 'P 1'
_cell_length_a 7.806
_cell_length_b 7.806
_cell_length_c 6.239
_cell_angle_alpha 90.00
_cell_angle_beta 90.00
_cell_angle_gamma 136.56
loop_
_atom_site_label
_atom_site_type_symbol
_atom_site_fract_x
_atom_site_fract_y
_atom_site_fract_z
_atom_site_occupancy
Ac1 Ac 0.106 0.305 0.000 1
Ac2 Ac 0.305 0.106 0.500 1
Ac3 Ac 0.695 0.894 0.500 1
Ac4 Ac 0.894 0.695 0.000 1
Sn1 Sn 0.000 0.500 0.500 1
Sn2 Sn 0.500 0.000 0.000 1
N1 N 0.000 0.000 0.250 1
N2 N 0.000 0.000 0.750 1
# DOS at the Fermi energy = 3.5 states/eV/cell
# Magnetization = 0.0 μB per cell
# E_form (uncorrected) = -3.4 eV per formula unit
# E above lowest polymorph = 0.017 eV/atom
# Space group = No. 66



[2]
# PBE Y3InO, relaxed
data_Y3InO
_symmetry_space_group_name_H-M 'P 1'
_symmetry_Int_Tables_number 1
_symmetry_space_group_name_Hall 'P 1'
_cell_length_a 6.825
_cell_length_b 6.825
_cell_length_c 5.623
_cell_angle_alpha 90.00
_cell_angle_beta 90.00
_cell_angle_gamma 120.00
loop_
_atom_site_label
_atom_site_type_symbol
_atom_site_fract_x
_atom_site_fract_y
_atom_site_fract_z
_atom_site_occupancy
Y1 Y 0.166 0.333 0.250 1
Y2 Y 0.166 0.834 0.250 1
Y3 Y 0.333 0.166 0.750 1
Y4 Y 0.667 0.834 0.250 1
Y5 Y 0.834 0.166 0.750 1
Y6 Y 0.834 0.667 0.750 1
In1 In 0.333 0.667 0.750 1
In2 In 0.667 0.333 0.250 1
O1 O 0.000 0.000 0.000 1
O2 O 0.000 0.000 0.500 1
# DOS at the Fermi energy = 7.6 states/eV/cell
# Magnetization = 2.3 μB per cell
# E_form (uncorrected) = -6.9 eV per formula unit
# Space group = No. 194



[3]
# PBE SmDy2Er12, relaxed
data_SmDy2Er12
_symmetry_space_group_name_H-M 'P 1'
_symmetry_Int_Tables_number 1
_symmetry_space_group_name_Hall 'P 1'
_cell_length_a 6.554
_cell_length_b 6.554
_cell_length_c 24.134
_cell_angle_alpha 92.22
_cell_angle_beta 92.22
_cell_angle_gamma 114.86
loop_
_atom_site_label
_atom_site_type_symbol
_atom_site_fract_x
_atom_site_fract_y
_atom_site_fract_z
_atom_site_occupancy
Sm1 Sm 0.250 0.250 0.000 1
Sm2 Sm 0.750 0.750 0.000 1
Dy1 Dy 0.067 0.067 0.272 1
Dy2 Dy 0.431 0.431 0.728 1
Dy3 Dy 0.569 0.569 0.272 1
Dy4 Dy 0.933 0.933 0.728 1
Er1 Er 0.049 0.550 0.202 1
Er2 Er 0.084 0.582 0.331 1
Er3 Er 0.140 0.636 0.555 1
Er4 Er 0.142 0.142 0.575 1
Er5 Er 0.215 0.215 0.862 1
Er6 Er 0.232 0.731 0.925 1
Er7 Er 0.269 0.768 0.075 1
Er8 Er 0.285 0.285 0.138 1
Er9 Er 0.356 0.356 0.427 1
Er10 Er 0.364 0.860 0.445 1
Er11 Er 0.418 0.916 0.669 1
Er12 Er 0.450 0.951 0.798 1
Er13 Er 0.550 0.049 0.202 1
Er14 Er 0.582 0.084 0.331 1
Er15 Er 0.636 0.140 0.555 1
Er16 Er 0.644 0.644 0.573 1
Er17 Er 0.715 0.715 0.862 1
Er18 Er 0.731 0.232 0.925 1
Er19 Er 0.768 0.269 0.075 1
Er20 Er 0.785 0.785 0.138 1
Er21 Er 0.858 0.858 0.425 1
Er22 Er 0.860 0.364 0.445 1
Er23 Er 0.916 0.418 0.669 1
Er24 Er 0.951 0.450 0.798 1
# Energy of formation = 11.20 kJ/mol of atoms
# DOS at the Fermi energy = 47.3 states/eV/cell
# Magnetization = 0.0 μB per cell
# Space group = No. 12



[4]
# PBE Ce4MnBi, relaxed
data_Ce4MnBi
_symmetry_space_group_name_H-M 'P 1'
_symmetry_Int_Tables_number 1
_symmetry_space_group_name_Hall 'P 1'
_cell_length_a 7.753
_cell_length_b 7.753
_cell_length_c 5.712
_cell_angle_alpha 102.34
_cell_angle_beta 102.34
_cell_angle_gamma 107.77
loop_
_atom_site_label
_atom_site_type_symbol
_atom_site_fract_x
_atom_site_fract_y
_atom_site_fract_z
_atom_site_occupancy
Ce1 Ce 0.039 0.721 0.917 1
Ce2 Ce 0.172 0.384 0.613 1
Ce3 Ce 0.279 0.961 0.583 1
Ce4 Ce 0.384 0.172 0.113 1
Ce5 Ce 0.616 0.828 0.887 1
Ce6 Ce 0.721 0.039 0.417 1
Ce7 Ce 0.828 0.616 0.387 1
Ce8 Ce 0.961 0.279 0.083 1
Mn1 Mn 0.011 0.989 0.250 1
Mn2 Mn 0.989 0.011 0.750 1
Bi1 Bi 0.384 0.616 0.250 1
Bi2 Bi 0.616 0.384 0.750 1
# Energy of formation = -17.01 kJ/mol of atoms
# DOS at the Fermi energy = 32.4 states/eV/cell
# Magnetization = 3.4 μB per cell
# Space group = No. 15